Compound: MgBe2Tc
Source: Alexandria
Functional: GGA-PBE
Structure: relaxed

```
data_MgBe2Tc
_cell_length_a 5.7677
_cell_length_b 5.7677
_cell_length_c 5.7677
_cell_angle_alpha 90.00
_cell_angle_beta 90.00
_cell_angle_gamma 90.00
_symmetry_space_group_name_H-M 'F m -3 m'
_symmetry_Int_Tables_number 225
_symmetry_space_group_name_Hall '-F 4 2 3'
loop_
_atom_site_label
_atom_site_type_symbol
_atom_site_fract_x
_atom_site_fract_y
_atom_site_fract_z
Mg1 Mg 0.0000 0.0000 0.0000
Be1 Be 0.2500 0.2500 0.2500
Tc1 Tc 0.0000 0.0000 0.5000
```

Results
The calculation puts the energy above the most stable polymorph in this dataset at 93.8 meV per atom. For the total energy, the calculation gives -4.723 eV per atom. The calculation puts the total magnetic moment at 0.00 μB/cell. The mass density comes out at 4.858 g/cm3. The crystal system is cubic.